Compound: LiRu2Pb
Source: the Alexandria database
Functional: GGA-PBE
Structure: relaxed

Cell lengths 2.9463, 2.9463, 8.2636 Å; angles 90.00, 90.00, 90.00 degrees
Atoms (fractional coordinates):
Li (0.0000, 0.0000, 0.4565)
Pb (0.5000, 0.5000, 0.7752)
Ru (0.0000, 0.0000, 0.0419)
Ru (0.5000, 0.5000, 0.2264)

Results
Energy = -5.79 eV/atom